1.
The following is a GGA-PBE calculation of a relaxed structure of KAg2Cl, from Alexandria via LeMat-Bulk.

Computed properties:
**E_form (uncorrected)**: 107 meV per atom
**Symmetry**: Fm-3m

a b c (Å): 5.339 5.339 5.339
angles (deg): 60.00 60.00 60.00
Positions (direct):
K  0.500  0.500  0.500
Ag  0.250  0.250  0.250
Ag  0.750  0.750  0.750
Cl  0.000  0.000  0.000



2.
The following is a GGA-PBE calculation of a relaxed structure of KAgCl, from Alexandria via LeMat-Bulk.

Computed properties:
**E_form (uncorrected)**: -559 meV per atom
**Symmetry**: P3m1

a b c (Å): 4.068 4.068 6.491
angles (deg): 90.00 90.00 120.00
Positions (direct):
K  0.667  0.333  0.620
Ag  0.000  0.000  0.055
Cl  0.333  0.667  0.325



3.
The following is a GGA-PBE calculation of a relaxed structure of K2AgCl, from Alexandria via LeMat-Bulk.

Computed properties:
**E_form (uncorrected)**: -871 meV per atom
**Symmetry**: Cmmm

a b c (Å): 3.908 3.908 8.171
angles (deg): 90.00 90.00 90.14
Positions (direct):
K  0.000  0.000  0.978
K  0.000  0.000  0.522
Ag  0.500  0.500  0.250
Cl  0.500  0.500  0.750



4.
The following is a GGA-PBE calculation of a relaxed structure of KAg3Cl4, from Alexandria via LeMat-Bulk.

Computed properties:
**E_form (uncorrected)**: -803 meV per atom
**Symmetry**: I-42m

a b c (Å): 6.556 6.556 6.556
angles (deg): 101.13 113.80 113.80
Positions (direct):
K  0.000  0.000  0.000
Ag  0.000  0.500  0.500
Ag  0.500  0.250  0.750
Ag  0.500  0.750  0.250
Cl  0.565  0.114  0.114
Cl  0.435  0.550  0.550
Cl  0.000  0.450  0.886
Cl  0.000  0.886  0.450



5.
The following is a GGA-PBE calculation of a relaxed structure of KAg2Cl, from Alexandria via LeMat-Bulk.

Computed properties:
**E_form (uncorrected)**: -538 meV per atom
**Symmetry**: Pm

a b c (Å): 3.738 3.943 7.448
angles (deg): 74.84 90.00 90.00
Positions (direct):
K  0.500  0.713  0.701
Ag  0.000  0.018  0.089
Ag  0.500  0.468  0.189
Cl  0.000  0.302  0.520



6.
The following is a GGA-PBE calculation of a relaxed structure of K2AgCl, from Alexandria via LeMat-Bulk.

Computed properties:
**E_form (uncorrected)**: -800 meV per atom
**Symmetry**: Fm-3m

a b c (Å): 5.703 5.703 5.703
angles (deg): 60.00 60.00 60.00
Positions (direct):
K  0.250  0.250  0.250
K  0.750  0.750  0.750
Ag  0.500  0.500  0.500
Cl  0.000  0.000  0.000



7.
The following is a GGA-PBE calculation of a relaxed structure of K2AgCl, from Alexandria via LeMat-Bulk.

Computed properties:
**E_form (uncorrected)**: -889 meV per atom
**Symmetry**: C2/m

a b c (Å): 4.625 4.625 8.453
angles (deg): 74.20 74.20 59.87
Positions (direct):
K  0.990  0.990  0.026
K  0.510  0.510  0.474
Ag  0.750  0.750  0.750
Cl  0.250  0.250  0.250



8.
The following is a GGA-PBE calculation of a relaxed structure of KAg6Cl8, from Alexandria via LeMat-Bulk.

Computed properties:
**E_form (uncorrected)**: -615 meV per atom
**Symmetry**: R-3

a b c (Å): 7.341 7.341 7.341
angles (deg): 94.78 94.78 94.78
Positions (direct):
K  0.000  0.000  0.000
Ag  0.607  0.381  0.788
Ag  0.381  0.788  0.607
Ag  0.788  0.607  0.381
Ag  0.393  0.619  0.212
Ag  0.619  0.212  0.393
Ag  0.212  0.393  0.619
Cl  0.701  0.701  0.701
Cl  0.299  0.299  0.299
Cl  0.621  0.888  0.210
Cl  0.888  0.210  0.621
Cl  0.210  0.621  0.888
Cl  0.379  0.112  0.790
Cl  0.112  0.790  0.379
Cl  0.790  0.379  0.112



9.
The following is a GGA-PBE calculation of a relaxed structure of K3Ag4Cl9, from Alexandria via LeMat-Bulk.

Computed properties:
**E_form (uncorrected)**: -977 meV per atom
**Symmetry**: R3

a b c (Å): 7.157 7.157 10.658
angles (deg): 70.38 70.38 60.00
Positions (direct):
K  0.001  0.001  0.996
K  0.833  0.833  0.502
K  0.427  0.427  0.718
Ag  0.581  0.581  0.258
Ag  0.136  0.136  0.592
Ag  0.253  0.253  0.240
Ag  0.696  0.696  0.911
Cl  0.975  0.416  0.072
Cl  0.537  0.975  0.072
Cl  0.416  0.537  0.072
Cl  0.855  0.297  0.431
Cl  0.416  0.855  0.431
Cl  0.297  0.416  0.431
Cl  0.862  0.418  0.750
Cl  0.418  0.970  0.750
Cl  0.970  0.862  0.750



10.
The following is a GGA-PBE calculation of a relaxed structure of KAg2Cl3, from Alexandria via LeMat-Bulk.

Computed properties:
**E_form (uncorrected)**: -939 meV per atom
**Symmetry**: Cmc2_1

a b c (Å): 6.813 7.932 7.932
angles (deg): 118.24 90.00 90.00
Positions (direct):
K  0.538  0.309  0.309
K  0.038  0.691  0.691
Ag  0.518  0.656  0.998
Ag  0.518  0.998  0.656
Ag  0.018  0.344  0.002
Ag  0.018  0.002  0.344
Cl  0.136  0.680  0.063
Cl  0.136  0.063  0.680
Cl  0.636  0.320  0.937
Cl  0.636  0.937  0.320
Cl  0.067  0.311  0.311
Cl  0.567  0.689  0.689



11.
The following is a GGA-PBE calculation of a relaxed structure of KAg5Cl7, from Alexandria via LeMat-Bulk.

Computed properties:
**E_form (uncorrected)**: -548 meV per atom
**Symmetry**: Imm2

a b c (Å): 6.350 8.258 8.258
angles (deg): 70.11 67.39 67.39
Site moments in Bohr magnetons follow the coordinates.
Positions (direct):
K  0.986  0.014  0.014  0.00
Ag  0.474  0.036  0.475  0.01
Ag  0.015  0.036  0.475  0.01
Ag  0.474  0.475  0.036  0.01
Ag  0.015  0.475  0.036  0.01
Ag  0.757  0.743  0.743  0.25
Cl  0.712  0.288  0.288  0.01
Cl  0.245  0.755  0.755  0.00
Cl  0.910  0.402  0.779  0.08
Cl  0.910  0.779  0.402  0.08
Cl  0.314  0.186  0.186  0.01
Cl  0.594  0.731  0.082  0.11
Cl  0.594  0.082  0.731  0.11



12.
The following is a GGA-PBE calculation of a relaxed structure of KAg2Cl, from Alexandria via LeMat-Bulk.

Computed properties:
**E_form (uncorrected)**: -483 meV per atom
**Symmetry**: Immm

a b c (Å): 7.372 7.372 7.372
angles (deg): 151.61 144.66 45.94
Positions (direct):
K  0.750  0.250  0.500
Ag  0.012  0.012  0.000
Ag  0.488  0.488  0.000
Cl  0.250  0.750  0.500



13.
The following is a GGA-PBE calculation of a relaxed structure of K3Ag2Cl7, from Alexandria via LeMat-Bulk.

Computed properties:
**E_form (uncorrected)**: -1176 meV per atom
**Symmetry**: I4/mmm

a b c (Å): 5.151 5.151 13.303
angles (deg): 101.16 101.16 90.00
Positions (direct):
K  0.321  0.321  0.642
K  0.679  0.679  0.358
K  0.500  0.500  0.000
Ag  0.099  0.099  0.198
Ag  0.901  0.901  0.802
Cl  0.000  0.000  0.000
Cl  0.905  0.405  0.810
Cl  0.405  0.905  0.810
Cl  0.095  0.595  0.190
Cl  0.595  0.095  0.190
Cl  0.199  0.199  0.398
Cl  0.801  0.801  0.602



14.
The following is a GGA-PBE calculation of a relaxed structure of KAg3Cl4, from Alexandria via LeMat-Bulk.

Computed properties:
**E_form (uncorrected)**: -777 meV per atom
**Symmetry**: Pm-3n

a b c (Å): 7.519 7.519 7.519
angles (deg): 90.00 90.00 90.00
Positions (direct):
K  0.000  0.000  0.000
K  0.500  0.500  0.500
Ag  0.000  0.500  0.250
Ag  0.000  0.500  0.750
Ag  0.250  0.000  0.500
Ag  0.500  0.250  0.000
Ag  0.500  0.750  0.000
Ag  0.750  0.000  0.500
Cl  0.250  0.250  0.250
Cl  0.250  0.750  0.250
Cl  0.250  0.250  0.750
Cl  0.250  0.750  0.750
Cl  0.750  0.250  0.250
Cl  0.750  0.250  0.750
Cl  0.750  0.750  0.250
Cl  0.750  0.750  0.750



15.
The following is a GGA-PBE calculation of a relaxed structure of KAg2Cl, from Alexandria via LeMat-Bulk.

Computed properties:
**E_form (uncorrected)**: -480 meV per atom
**Symmetry**: Pmmm

a b c (Å): 3.901 4.230 6.930
angles (deg): 90.00 90.00 90.00
Positions (direct):
K  0.000  0.500  0.500
Ag  0.000  0.000  0.000
Ag  0.500  0.500  0.000
Cl  0.500  0.000  0.500



16.
The following is a GGA-PBE calculation of a relaxed structure of K2Ag2Cl5, from Alexandria via LeMat-Bulk.

Computed properties:
**E_form (uncorrected)**: -1109 meV per atom
**Symmetry**: P4/mmm

a b c (Å): 5.040 5.040 10.195
angles (deg): 90.00 90.00 90.00
Positions (direct):
K  0.000  0.000  0.000
K  0.000  0.000  0.500
Ag  0.500  0.500  0.233
Ag  0.500  0.500  0.767
Cl  0.500  0.000  0.201
Cl  0.500  0.000  0.799
Cl  0.500  0.500  0.500
Cl  0.000  0.500  0.201
Cl  0.000  0.500  0.799



17.
The following is a GGA-PBE calculation of a relaxed structure of KAg3Cl, from Alexandria via LeMat-Bulk.

Computed properties:
**E_form (uncorrected)**: 370 meV per atom
**Symmetry**: Pm-3m

a b c (Å): 5.355 5.355 5.355
angles (deg): 90.00 90.00 90.00
Positions (direct):
K  0.500  0.500  0.500
Ag  0.000  0.500  0.000
Ag  0.000  0.000  0.500
Ag  0.500  0.000  0.000
Cl  0.000  0.000  0.000



18.
The following is a GGA-PBE calculation of a relaxed structure of K3AgCl4, from Alexandria via LeMat-Bulk.

Computed properties:
**E_form (uncorrected)**: -1534 meV per atom
**Symmetry**: Pmn2_1

a b c (Å): 6.331 8.664 10.484
angles (deg): 90.00 90.00 90.00
Positions (direct):
K  0.565  0.858  0.000
K  0.067  0.671  0.240
K  0.567  0.329  0.260
K  0.065  0.142  0.500
K  0.567  0.329  0.740
K  0.067  0.671  0.760
Ag  0.016  0.186  0.000
Ag  0.516  0.814  0.500
Cl  0.068  0.877  0.000
Cl  0.590  0.200  0.000
Cl  0.071  0.312  0.230
Cl  0.571  0.688  0.270
Cl  0.090  0.800  0.500
Cl  0.568  0.123  0.500
Cl  0.571  0.688  0.730
Cl  0.071  0.312  0.770



19.
The following is a GGA-PBE calculation of a relaxed structure of K3AgCl4, from Alexandria via LeMat-Bulk.

Computed properties:
**E_form (uncorrected)**: -1564 meV per atom
**Symmetry**: R3m

a b c (Å): 6.365 6.365 6.365
angles (deg): 89.98 89.98 89.98
Positions (direct):
K  0.240  0.746  0.745
K  0.745  0.240  0.746
K  0.746  0.745  0.240
Ag  0.338  0.338  0.338
Cl  0.740  0.740  0.740
Cl  0.713  0.239  0.240
Cl  0.240  0.713  0.239
Cl  0.239  0.240  0.713



20.
The following is a GGA-PBE calculation of a relaxed structure of K2AgCl, from Alexandria via LeMat-Bulk.

Computed properties:
**E_form (uncorrected)**: -844 meV per atom
**Symmetry**: Cm

a b c (Å): 8.527 8.527 4.451
angles (deg): 90.14 90.14 29.20
Positions (direct):
K  0.042  0.042  0.122
K  0.776  0.776  0.629
Ag  0.456  0.456  0.621
Cl  0.226  0.226  0.129